Entry 1:
A plane-wave DFT calculation with PBE was carried out for a relaxed BaBeSn3 crystal.

## Properties
magnetic moment	0.0	μB per formula unit
ΔE_f	-0.29	eV per formula unit
energy above the most stable polymorph in this dataset	0.0	kJ/mol of formula units
Fermi-level density of states	2.88	states/eV/f.u.
raw total energy	-3.590	eV/atom

a b c (Å): 5.178 5.178 5.178
angles (deg): 90.00 90.00 90.00
Space group Pm-3m (No. 221)
Unique sites:
Ba1 0.000 0.000 0.000 (multiplicity 1)
Be1 0.500 0.500 0.500 (multiplicity 1)
Sn1 0.000 0.500 0.500 (multiplicity 3)

---

Entry 2:
A plane-wave DFT calculation with PBE was carried out for a relaxed BaSr2Be2 crystal.

## Properties
magnetic moment	0.0	μB per formula unit
ΔE_f	3.33	eV per formula unit
energy above the most stable polymorph in this dataset	70.2	kJ/mol of formula units
Fermi-level density of states	5.21	states/eV/f.u.
raw total energy	-1.881	eV/atom

a b c (Å): 5.700 5.700 11.484
angles (deg): 90.00 90.00 90.00
Space group I4/mmm (No. 139)
Unique sites:
Ba1 0.000 0.000 0.000 (multiplicity 2)
Sr1 0.000 0.000 0.339 (multiplicity 4)
Be1 0.000 0.500 0.250 (multiplicity 4)

---

Entry 3:
A plane-wave DFT calculation with PBE was carried out for a relaxed BaSrBe2 crystal.

## Properties
magnetic moment	0.0	μB per formula unit
ΔE_f	1.78	eV per formula unit
energy above the most stable polymorph in this dataset	38.1	kJ/mol of formula units
Fermi-level density of states	1.85	states/eV/f.u.
raw total energy	-2.320	eV/atom

a b c (Å): 4.069 5.661 9.436
angles (deg): 90.00 90.00 90.00
Space group Imm2 (No. 44)
Unique sites:
Ba1 0.000 0.000 0.000 (multiplicity 2)
Sr1 0.000 0.500 0.822 (multiplicity 2)
Be1 0.000 0.000 0.626 (multiplicity 2)
Be2 0.000 0.500 0.191 (multiplicity 2)

---

Entry 4:
A plane-wave DFT calculation with PBE was carried out for a relaxed BaSrBe crystal.

## Properties
magnetic moment	0.0	μB per formula unit
ΔE_f	2.99	eV per formula unit
energy above the most stable polymorph in this dataset	184.9	kJ/mol of formula units
Fermi-level density of states	4.71	states/eV/f.u.
raw total energy	-1.448	eV/atom

a b c (Å): 7.726 7.726 7.726
angles (deg): 90.00 90.00 90.00
Space group F-43m (No. 216)
Unique sites:
Ba1 0.000 0.000 0.000 (multiplicity 4)
Sr1 0.250 0.250 0.750 (multiplicity 4)
Be1 0.250 0.250 0.250 (multiplicity 4)

---

Entry 5:
A plane-wave DFT calculation with PBE was carried out for a relaxed Ba3SrBe crystal.

## Properties
magnetic moment	0.0	μB per formula unit
ΔE_f	1.53	eV per formula unit
energy above the most stable polymorph in this dataset	0.0	kJ/mol of formula units
Fermi-level density of states	23.30	states/eV/f.u.
raw total energy	-1.930	eV/atom

a b c (Å): 6.474 6.474 6.474
angles (deg): 90.00 90.00 90.00
Space group Pm-3m (No. 221)
Unique sites:
Ba1 0.000 0.000 0.500 (multiplicity 3)
Sr1 0.500 0.500 0.500 (multiplicity 1)
Be1 0.000 0.000 0.000 (multiplicity 1)

---

Entry 6:
A plane-wave DFT calculation with PBE was carried out for a relaxed BaSrBe2 crystal.

## Properties
magnetic moment	0.0	μB per formula unit
ΔE_f	1.38	eV per formula unit
energy above the most stable polymorph in this dataset	0.0	kJ/mol of formula units
Fermi-level density of states	3.03	states/eV/f.u.
raw total energy	-2.418	eV/atom

a b c (Å): 5.502 4.285 5.512
angles (deg): 90.00 119.87 90.00
Space group Pm (No. 6)
Unique sites:
Ba1 0.000 0.000 0.000 (multiplicity 1)
Sr1 0.667 0.500 0.335 (multiplicity 1)
Be1 0.334 0.000 0.666 (multiplicity 1)
Be2 0.334 0.500 0.668 (multiplicity 1)

---

Entry 7:
A plane-wave DFT calculation with PBE was carried out for a relaxed BaSrBe3 crystal.

## Properties
magnetic moment	0.0	μB per formula unit
ΔE_f	7.44	eV per formula unit
energy above the most stable polymorph in this dataset	54.8	kJ/mol of formula units
Fermi-level density of states	4.30	states/eV/f.u.
raw total energy	-1.469	eV/atom

a b c (Å): 5.421 5.421 5.421
angles (deg): 90.00 90.00 90.00
Space group Pm-3m (No. 221)
Unique sites:
Ba1 0.000 0.000 0.000 (multiplicity 1)
Sr1 0.500 0.500 0.500 (multiplicity 1)
Be1 0.000 0.000 0.500 (multiplicity 3)

---

Entry 8:
A plane-wave DFT calculation with PBE was carried out for a relaxed BaSrBe2 crystal.

## Properties
magnetic moment	0.7	μB per formula unit
ΔE_f	3.83	eV per formula unit
energy above the most stable polymorph in this dataset	235.6	kJ/mol of formula units
Fermi-level density of states	5.49	states/eV/f.u.
raw total energy	-1.808	eV/atom

a b c (Å): 8.439 8.439 7.747
angles (deg): 90.00 90.00 90.00
Space group I-42d (No. 122)
Unique sites:
Ba1 0.000 0.000 0.000 (multiplicity 4)
Sr1 0.000 0.000 0.500 (multiplicity 4)
Be1 0.237 0.250 0.625 (multiplicity 8)

---

Entry 9:
A plane-wave DFT calculation with PBE was carried out for a relaxed BaSrBe2 crystal.

## Properties
magnetic moment	0.0	μB per formula unit
ΔE_f	2.32	eV per formula unit
energy above the most stable polymorph in this dataset	90.5	kJ/mol of formula units
Fermi-level density of states	3.64	states/eV/f.u.
raw total energy	-2.184	eV/atom

a b c (Å): 3.893 3.893 7.533
angles (deg): 90.00 90.00 90.00
Space group P4/mmm (No. 123)
Unique sites:
Ba1 0.000 0.000 0.000 (multiplicity 1)
Sr1 0.000 0.000 0.500 (multiplicity 1)
Be1 0.500 0.500 0.294 (multiplicity 2)

---

Entry 10:
A plane-wave DFT calculation with PBE was carried out for a relaxed Ba4SrBe crystal.

## Properties
magnetic moment	0.0	μB per formula unit
ΔE_f	4.25	eV per formula unit
Fermi-level density of states	13.06	states/eV/f.u.
raw total energy	-1.475	eV/atom

a b c (Å): 10.932 10.932 10.932
angles (deg): 90.00 90.00 90.00
Space group F-43m (No. 216)
Unique sites:
Ba1 0.124 0.124 0.124 (multiplicity 16)
Sr1 0.000 0.000 0.500 (multiplicity 4)
Be1 0.250 0.250 0.750 (multiplicity 4)

---

Entry 11:
A plane-wave DFT calculation with PBE was carried out for a relaxed BaSrBe crystal.

## Properties
magnetic moment	0.0	μB per formula unit
ΔE_f	1.07	eV per formula unit
energy above the most stable polymorph in this dataset	0.0	kJ/mol of formula units
Fermi-level density of states	3.90	states/eV/f.u.
raw total energy	-2.087	eV/atom

a b c (Å): 3.941 3.941 14.545
angles (deg): 90.00 90.00 90.00
Space group I4mm (No. 107)
Unique sites:
Ba1 0.000 0.000 0.000 (multiplicity 2)
Sr1 0.000 0.000 0.749 (multiplicity 2)
Be1 0.000 0.000 0.366 (multiplicity 2)

---

Entry 12:
A plane-wave DFT calculation with PBE was carried out for a relaxed BaSrBe crystal.

## Properties
magnetic moment	0.0	μB per formula unit
ΔE_f	1.38	eV per formula unit
energy above the most stable polymorph in this dataset	30.4	kJ/mol of formula units
Fermi-level density of states	4.70	states/eV/f.u.
raw total energy	-1.982	eV/atom

a b c (Å): 7.826 7.826 7.826
angles (deg): 90.00 90.00 90.00
Space group F-43m (No. 216)
Unique sites:
Ba1 0.000 0.000 0.000 (multiplicity 4)
Sr1 0.000 0.000 0.500 (multiplicity 4)
Be1 0.250 0.250 0.250 (multiplicity 4)